Here is a relaxed structure of NaCrAg2O4 from Alexandria. Energies are from PBE+U.

Computed properties:
DOS at the Fermi energy ... 0.57 states/eV/cell
DFT total energy ... -5.218 eV/atom

Unit cell a=6.1341 b=6.1341 c=6.1341 alpha=131.99 beta=131.99 gamma=70.24
Closest atoms and distances in Å follow each position.
Fractional positions:
Na 0.0000 0.0000 0.0000  4 O 2.35
Cr 0.5000 0.5000 0.0000  4 O 1.74
Ag 0.2500 0.7500 0.5000  4 O 2.34
Ag 0.7500 0.2500 0.5000  4 O 2.34
O 0.1986 0.1986 0.6003  1 Cr 1.74
O 0.4017 0.8014 0.0000  1 Cr 1.74
O 0.5983 0.5983 0.3997  1 Cr 1.74
O 0.8014 0.4017 0.0000  1 Cr 1.74